Entry 1:
CoRe2Tc at its PBEsol-relaxed geometry. Source: Alexandria, functional meta-GGA SCAN.

It has space group R3m (No. 160, hexagonal axes), with a = 2.6916 Å, b = 2.6916 Å, c = 25.8786 Å, α = 90.00°, β = 90.00° and γ = 120.00°. The distinct sites, in fractional coordinates, are Co at (0.0000, 0.0000, 0.0000), Re at (0.0000, 0.0000, 0.5011), Re at (0.0000, 0.0000, 0.7458) and Tc at (0.0000, 0.0000, 0.2526).

Its total energy is -581.893 eV/cell. As for the energy of formation: 149 meV per atom. For the total magnetization, the calculation gives 1.9 μB per formula unit. As for the mass density: 16.2 Mg/m³. The volume is 162.4 Å³/cell. The value obtained for the energy above the most stable polymorph in this dataset is 81 meV per atom.

Entry 2:
TlCu2Ag at its PBEsol-relaxed geometry. Source: Alexandria, functional meta-GGA SCAN.

It has space group F-43m (No. 216), with a = 6.317 Å, b = 6.317 Å, c = 6.317 Å, α = 90.00°, β = 90.00° and γ = 90.00°. The distinct sites, in fractional coordinates, are Tl at (0.000, 0.000, 0.000), Cu at (0.000, 0.000, 0.500), Cu at (0.250, 0.250, 0.250) and Ag at (0.250, 0.250, 0.750).

Its total energy is -531.542 eV/cell. As for the energy of formation: 310 meV per atom. For the total magnetization, the calculation gives 0.0 μB per formula unit. As for the mass density: 11.6 Mg/m³. The volume is 252.0 Å³/cell. The value obtained for the energy above the most stable polymorph in this dataset is 66 meV per atom.

Entry 3:
LiPtPb at its PBEsol-relaxed geometry. Source: Alexandria, functional meta-GGA SCAN.

It has space group I4mm (No. 107), with a = 3.489 Å, b = 3.489 Å, c = 8.569 Å, α = 90.00°, β = 90.00° and γ = 90.00°. The distinct sites, in fractional coordinates, are Li at (0.000, 0.000, 0.000), Pt at (0.000, 0.000, 0.350) and Pb at (0.000, 0.000, 0.680).

Its total energy is -299.239 eV/cell. As for the energy of formation: -418 meV per atom. For the total magnetization, the calculation gives 0.0 μB per formula unit. As for the mass density: 13.0 Mg/m³. The volume is 104.3 Å³/cell.

Entry 4:
KCu3S2 at its PBEsol-relaxed geometry. Source: Alexandria, functional meta-GGA SCAN.

It has space group C2/m (No. 12), with a = 14.336 Å, b = 3.818 Å, c = 8.134 Å, α = 90.00°, β = 113.01° and γ = 90.00°. The distinct sites, in fractional coordinates, are K at (0.136, 0.000, 0.046), Cu at (0.061, 0.000, 0.407), Cu at (0.092, 0.500, 0.639), Cu at (0.189, 0.500, 0.424), S at (0.022, 0.500, 0.234) and S at (0.193, 0.000, 0.687).

Its total energy is -306.167 eV/cell. For the total magnetization, the calculation gives 0.0 μB per formula unit. As for the mass density: 4.8 Mg/m³. The volume is 409.7 Å³/cell. Its formation energy (no corrections) is -0.5598 eV/atom.

Entry 5:
ReAs2P at its PBEsol-relaxed geometry. Source: Alexandria, functional meta-GGA SCAN.

It has space group Imm2 (No. 44), with a = 3.006 Å, b = 3.958 Å, c = 11.535 Å, α = 90.00°, β = 90.00° and γ = 90.00°. The distinct sites, in fractional coordinates, are Re at (0.000, 0.000, 0.000), As at (0.000, 0.000, 0.560), As at (0.000, 0.500, 0.715) and P at (0.000, 0.500, 0.342).

Its total energy is -240.544 eV/cell. As for the energy of formation: 401 meV per atom. For the total magnetization, the calculation gives 0.0 μB per formula unit. As for the mass density: 8.9 Mg/m³. The volume is 137.2 Å³/cell.

Entry 6:
YTe2 at its PBEsol-relaxed geometry. Source: Alexandria, functional meta-GGA SCAN.

It has space group Immm (No. 71), with a = 4.128 Å, b = 5.975 Å, c = 14.209 Å, α = 90.00°, β = 90.00° and γ = 90.00°. The distinct sites, in fractional coordinates, are Y at (0.000, 0.000, 0.137), Te at (0.000, 0.249, 0.500) and Te at (0.000, 0.500, 0.208).

Its total energy is -425.425 eV/cell. For the total magnetization, the calculation gives 0.0 μB per formula unit. As for the mass density: 6.5 Mg/m³. The volume is 350.5 Å³/cell. Its formation energy (no corrections) is -1.3370 eV/atom.

Entry 7:
TaP3 at its PBEsol-relaxed geometry. Source: Alexandria, functional meta-GGA SCAN.

It has space group Cmmm (No. 65), with a = 5.337 Å, b = 6.776 Å, c = 3.118 Å, α = 90.00°, β = 90.00° and γ = 90.00°. The distinct sites, in fractional coordinates, are Ta at (0.000, 0.000, 0.000), P at (0.000, 0.500, 0.000) and P at (0.250, 0.250, 0.500).

Its total energy is -193.483 eV/cell. As for the energy of formation: 259 meV per atom. For the total magnetization, the calculation gives 0.0 μB per formula unit. As for the mass density: 8.1 Mg/m³. The volume is 112.8 Å³/cell.

Entry 8:
ScMo3 at its PBEsol-relaxed geometry. Source: Alexandria, functional meta-GGA SCAN.

It has space group Cmmm (No. 65), with a = 3.187 Å, b = 4.519 Å, c = 9.051 Å, α = 90.00°, β = 90.00° and γ = 90.00°. The distinct sites, in fractional coordinates, are Sc at (0.000, 0.000, 0.000), Mo at (0.000, 0.000, 0.500) and Mo at (0.000, 0.500, 0.264).

Its total energy is -236.714 eV/cell. As for the energy of formation: 134 meV per atom. For the total magnetization, the calculation gives 0.0 μB per formula unit. As for the mass density: 8.5 Mg/m³. The volume is 130.3 Å³/cell.

Entry 9:
CaWN2 at its PBEsol-relaxed geometry. Source: Alexandria, functional meta-GGA SCAN.

It has space group I-42d (No. 122), with a = 4.906 Å, b = 4.906 Å, c = 10.104 Å, α = 90.00°, β = 90.00° and γ = 90.00°. The distinct sites, in fractional coordinates, are Ca at (0.000, 0.000, 0.000), W at (0.000, 0.000, 0.500) and N at (0.162, 0.250, 0.625).

Its total energy is -402.573 eV/cell. For the total magnetization, the calculation gives 0.0 μB per formula unit. As for the mass density: 6.9 Mg/m³. The volume is 243.2 Å³/cell. Its formation energy (no corrections) is -0.6774 eV/atom.

Entry 10:
Al2SiNi at its PBEsol-relaxed geometry. Source: Alexandria, functional meta-GGA SCAN.

It has space group I4/mmm (No. 139), with a = 4.685 Å, b = 4.685 Å, c = 4.991 Å, α = 90.00°, β = 90.00° and γ = 90.00°. The distinct sites, in fractional coordinates, are Al at (0.000, 0.500, 0.250), Si at (0.000, 0.000, 0.000) and Ni at (0.000, 0.000, 0.500).

Its total energy is -83.812 eV/cell. For the total magnetization, the calculation gives 0.0 μB per formula unit. As for the mass density: 4.3 Mg/m³. The volume is 109.5 Å³/cell. The value obtained for the energy above the most stable polymorph in this dataset is 281 meV per atom. Its formation energy (no corrections) is -0.0534 eV/atom.

Entry 11:
Sc2TeI at its PBEsol-relaxed geometry. Source: Alexandria, functional meta-GGA SCAN.

It has space group Fm-3m (No. 225), with a = 7.148 Å, b = 7.148 Å, c = 7.148 Å, α = 90.00°, β = 90.00° and γ = 90.00°. The distinct sites, in fractional coordinates, are Sc at (0.250, 0.250, 0.250), Te at (0.000, 0.000, 0.000) and I at (0.000, 0.000, 0.500).

Its total energy is -421.888 eV/cell. For the total magnetization, the calculation gives 0.0 μB per formula unit. As for the mass density: 6.3 Mg/m³. The volume is 365.2 Å³/cell. Its formation energy (no corrections) is -0.7513 eV/atom.

Entry 12:
BaLa2S4 at its PBEsol-relaxed geometry. Source: Alexandria, functional meta-GGA SCAN.

It has space group I-42d (No. 122), with a = 8.834 Å, b = 8.834 Å, c = 8.795 Å, α = 90.00°, β = 90.00° and γ = 90.00°. The distinct sites, in fractional coordinates, are Ba at (0.000, 0.000, 0.000), La at (0.127, 0.250, 0.625) and S at (0.079, 0.167, 0.311).

Its total energy is -725.989 eV/cell. For the total magnetization, the calculation gives 0.0 μB per formula unit. As for the mass density: 5.3 Mg/m³. The volume is 686.4 Å³/cell. Its formation energy (no corrections) is -2.4607 eV/atom.

Entry 13:
Ba2CdFeAu at its PBEsol-relaxed geometry. Source: Alexandria, functional meta-GGA SCAN.

It has space group P4/mmm (No. 123), with a = 6.085 Å, b = 6.085 Å, c = 5.160 Å, α = 90.00°, β = 90.00° and γ = 90.00°. The distinct sites, in fractional coordinates, are Ba at (0.000, 0.500, 0.000), Cd at (0.000, 0.000, 0.500), Fe at (0.500, 0.500, 0.500) and Au at (0.000, 0.000, 0.000).

Its total energy is -196.049 eV/cell. As for the energy of formation: 150 meV per atom. For the total magnetization, the calculation gives 3.3 μB per formula unit. As for the mass density: 5.6 Mg/m³. The volume is 191.1 Å³/cell.

Entry 14:
KReTc2 at its PBEsol-relaxed geometry. Source: Alexandria, functional meta-GGA SCAN.

It has space group F-43m (No. 216), with a = 6.311 Å, b = 6.311 Å, c = 6.311 Å, α = 90.00°, β = 90.00° and γ = 90.00°. The distinct sites, in fractional coordinates, are K at (0.000, 0.000, 0.000), Re at (0.250, 0.250, 0.750), Tc at (0.000, 0.000, 0.500) and Tc at (0.250, 0.250, 0.250).

Its total energy is -573.517 eV/cell. As for the energy of formation: 1542 meV per atom. For the total magnetization, the calculation gives 0.0 μB per formula unit. As for the mass density: 11.1 Mg/m³. The volume is 251.3 Å³/cell.